# K3V5O12 (GGA+U, relaxed)
data_K3V5O12
_cell_length_a 12.9987
_cell_length_b 12.9987
_cell_length_c 12.9987
_cell_angle_alpha 90.00
_cell_angle_beta 90.00
_cell_angle_gamma 90.00
_space_group_name_H-M_alt 'I a -3 d'
_space_group_IT_number 230
_space_group_name_Hall '-I 4bd 2c 3'
loop_
_atom_site_label
_atom_site_type_symbol
_atom_site_fract_x
_atom_site_fract_y
_atom_site_fract_z
K1 K 0.0000 0.2500 0.1250
V1 V 0.0000 0.0000 0.0000
V2 V 0.0000 0.2500 0.3750
O1 O 0.0361 0.1478 0.9561
# V	13.73	Å³/atom
# final energy	-1114.0	eV per cell
# total moment	32.00	Bohr magnetons per cell